{"formula": "TcMo2W", "functional": "PBE", "state": "optimized geometry", "lattice_angstrom": [[-2.2736, 1.0207, -3.6839], [-1.1110, -2.5065, -0.0088], [-4.2698, 0.8507, 2.8710]], "species": ["Mo", "Mo", "W", "Tc"], "fractional_positions": [[0.0000, 0.5081, 0.4995], [0.0000, 0.9919, 0.0005], [0.5000, 0.7500, 0.7500], [0.5000, 0.2500, 0.2500]], "ef_ev_per_atom": 0.045, "relative_energy_ev_per_atom": 0.029}

=====

{"formula": "Cu2NiH", "functional": "PBE", "state": "optimized geometry", "lattice_angstrom": [[-1.9431, -2.0396, 5.0740], [5.3743, 0.2835, 2.1721], [1.3152, 1.2706, 4.3334]], "species": ["Ni", "Ni", "Cu", "Cu", "Cu", "Cu", "H", "H"], "fractional_positions": [[0.0000, 0.0000, 0.0000], [0.7500, 0.2500, 0.5000], [0.2217, 0.6250, 0.2500], [0.5283, 0.1250, 0.2500], [0.3750, 0.4717, 0.7500], [0.8750, 0.7783, 0.7500], [0.2500, 0.7500, 0.5000], [0.5000, 0.5000, 0.0000]], "relative_energy_ev_per_atom": 0.281}

=====

| no. | total magnetic moment (μB per cell) | volume (A^3/atom) |
| --- | --- | --- |
| 1 | 0.0 | 15.64 |
| 2 | 0.0 | 9.68 |